This record from the Alexandria database describes a relaxed TbGaNi crystal. The functional is PBE-GGA.

```
data_TbGaNi
_symmetry_space_group_name_H-M 'P 1'
_symmetry_Int_Tables_number 1
_symmetry_space_group_name_Hall 'P 1'
_cell_length_a 5.350
_cell_length_b 5.350
_cell_length_c 6.878
_cell_angle_alpha 124.99
_cell_angle_beta 124.99
_cell_angle_gamma 45.78
loop_
_atom_site_label
_atom_site_fract_x
_atom_site_fract_y
_atom_site_fract_z
Tb1 0.058 0.058 0.313
Tb2 0.942 0.942 0.687
Ga1 0.321 0.321 0.903
Ga2 0.679 0.679 0.097
Ni1 0.345 0.345 0.300
Ni2 0.655 0.655 0.700
```

Results
space-group type: C2/m (12)
total moment: 0.00 μB/atom
energy: -5.0763 eV per atom
density of states at the Fermi level: 0.802 states/eV/atom
calculated volume: 18.4 Å³ per atom
calculated formation energy: -597 meV per atom